Record 1
Below is crystalline AlCd2Te at its relaxed geometry, with properties calculated at the PBE-GGA level.

Cell and atoms, written as CIF:
```
data_AlCd2Te
_cell_length_a 8.2391
_cell_length_b 8.2391
_cell_length_c 8.2391
_cell_angle_alpha 27.60
_cell_angle_beta 27.60
_cell_angle_gamma 27.60
_space_group_name_H-M_alt 'P 1'
_space_group_IT_number 1
loop_
_space_group_symop_operation_xyz
'x,y,z'
loop_
_atom_site_label
_atom_site_type_symbol
_atom_site_fract_x
_atom_site_fract_y
_atom_site_fract_z
_atom_site_occupancy
Te1 Te 0.5139 0.5139 0.5139 1
Cd1 Cd 0.9927 0.9927 0.9927 1
Cd2 Cd 0.7470 0.7470 0.7470 1
Al1 Al 0.2464 0.2464 0.2464 1
```

Calculated values
Crystal system: trigonal
Calculated density (g/cm3): 5.9
ΔE_f (raw) (eV/atom): -0.021
Excess energy over the best structure of this formula in the dataset (meV/atom): 2.4

---

Record 2
Below is crystalline CrFe4Co at its relaxed geometry, with properties calculated at the PBE-GGA level.

Cell and atoms, written as CIF:
```
data_CrFe4Co
_cell_length_a 4.6283
_cell_length_b 4.6283
_cell_length_c 4.6283
_cell_angle_alpha 60.00
_cell_angle_beta 60.00
_cell_angle_gamma 60.00
_space_group_name_H-M_alt 'P 1'
_space_group_IT_number 1
loop_
_space_group_symop_operation_xyz
'x,y,z'
loop_
_atom_site_label
_atom_site_type_symbol
_atom_site_fract_x
_atom_site_fract_y
_atom_site_fract_z
_atom_site_occupancy
Fe1 Fe 0.6244 0.1267 0.6244 1
Fe2 Fe 0.1267 0.6244 0.6244 1
Fe3 Fe 0.6244 0.6244 0.6244 1
Fe4 Fe 0.6244 0.6244 0.1267 1
Cr1 Cr 0.0000 0.0000 0.0000 1
Co1 Co 0.2500 0.2500 0.2500 1
```

Calculated values
Crystal system: cubic
Formation energy (eV/atom): 0.13
Calculated density (g/cm3): 7.9
Excess energy over the best structure of this formula in the dataset (meV/atom): 113.0

---

Record 3
Below is crystalline Cs2TiHIr at its relaxed geometry, with properties calculated at the PBE-GGA level.

Cell and atoms, written as CIF:
```
data_Cs2TiHIr
_cell_length_a 6.5203
_cell_length_b 3.4923
_cell_length_c 6.5203
_cell_angle_alpha 90.00
_cell_angle_beta 90.00
_cell_angle_gamma 90.00
_space_group_name_H-M_alt 'P 1'
_space_group_IT_number 1
loop_
_space_group_symop_operation_xyz
'x,y,z'
loop_
_atom_site_label
_atom_site_type_symbol
_atom_site_fract_x
_atom_site_fract_y
_atom_site_fract_z
_atom_site_occupancy
Ir1 Ir 0.5000 0.5000 0.5000 1
Cs1 Cs 0.0000 0.0000 0.5000 1
Cs2 Cs 0.5000 0.0000 0.0000 1
H1 H 0.0000 0.5000 0.0000 1
Ti1 Ti 0.0000 0.0000 0.0000 1
```

Calculated values
Crystal system: tetragonal
Calculated density (g/cm3): 5.7
Energy (eV/cell): -15.6

---

Record 4
Below is crystalline NpAg3Br7 at its relaxed geometry, with properties calculated at the PBE-GGA level.

Cell and atoms, written as CIF:
```
data_NpAg3Br7
_cell_length_a 8.2534
_cell_length_b 8.2534
_cell_length_c 9.1238
_cell_angle_alpha 55.13
_cell_angle_beta 55.13
_cell_angle_gamma 57.69
_space_group_name_H-M_alt 'P 1'
_space_group_IT_number 1
loop_
_space_group_symop_operation_xyz
'x,y,z'
loop_
_atom_site_label
_atom_site_type_symbol
_atom_site_fract_x
_atom_site_fract_y
_atom_site_fract_z
_atom_site_occupancy
Br1 Br 0.0718 0.0718 0.2184 1
Br2 Br 0.1000 0.6023 0.1845 1
Br3 Br 0.5692 0.5692 0.3192 1
Br4 Br 0.4522 0.9387 0.7513 1
Br5 Br 0.9387 0.4522 0.7513 1
Br6 Br 0.6023 0.1000 0.1845 1
Br7 Br 0.9646 0.9646 0.7257 1
Ag1 Ag 0.5190 0.5190 0.0799 1
Ag2 Ag 0.7044 0.1807 0.5322 1
Ag3 Ag 0.1807 0.7044 0.5322 1
Np1 Np 0.0221 0.0221 0.9707 1
```

Calculated values
Crystal system: monoclinic
Calculated density (g/cm3): 4.7
ΔE_f (raw) (eV/atom): -0.716

---

Record 5
Below is crystalline CdAg2Rh at its relaxed geometry, with properties calculated at the PBE-GGA level.

Cell and atoms, written as CIF:
```
data_CdAg2Rh
_cell_length_a 5.0121
_cell_length_b 5.0121
_cell_length_c 2.9454
_cell_angle_alpha 90.00
_cell_angle_beta 90.00
_cell_angle_gamma 110.55
_space_group_name_H-M_alt 'P 1'
_space_group_IT_number 1
loop_
_space_group_symop_operation_xyz
'x,y,z'
loop_
_atom_site_label
_atom_site_type_symbol
_atom_site_fract_x
_atom_site_fract_y
_atom_site_fract_z
_atom_site_occupancy
Rh1 Rh 0.5000 0.5000 0.5000 1
Ag1 Ag 0.0000 0.5000 0.0000 1
Ag2 Ag 0.5000 0.0000 0.0000 1
Cd1 Cd 0.0000 0.0000 0.5000 1
```

Calculated values
Crystal system: orthorhombic
Formation energy (eV/atom): 0.10
Calculated density (g/cm3): 10.3

---

Record 6
Below is crystalline FeICl2 at its relaxed geometry, with properties calculated at the PBE-GGA level.

Cell and atoms, written as CIF:
```
data_FeICl2
_cell_length_a 5.9833
_cell_length_b 5.9790
_cell_length_c 10.7946
_cell_angle_alpha 90.00
_cell_angle_beta 90.00
_cell_angle_gamma 90.00
_space_group_name_H-M_alt 'P 1'
_space_group_IT_number 1
loop_
_space_group_symop_operation_xyz
'x,y,z'
loop_
_atom_site_label
_atom_site_type_symbol
_atom_site_fract_x
_atom_site_fract_y
_atom_site_fract_z
_atom_site_occupancy
I1 I 0.2501 0.0562 0.7500 1
I2 I 0.7499 0.9438 0.2500 1
I3 I 0.7501 0.4438 0.7500 1
I4 I 0.2499 0.5562 0.2500 1
Cl1 Cl 0.7926 0.4344 0.4306 1
Cl2 Cl 0.2074 0.5656 0.5694 1
Cl3 Cl 0.2073 0.0656 0.4306 1
Cl4 Cl 0.7927 0.9344 0.5694 1
Cl5 Cl 0.2927 0.5656 0.9306 1
Cl6 Cl 0.2926 0.0656 0.0694 1
Cl7 Cl 0.7073 0.4344 0.0694 1
Cl8 Cl 0.7074 0.9344 0.9306 1
Fe1 Fe 0.0000 0.2500 0.5839 1
Fe2 Fe 0.0000 0.7500 0.4161 1
Fe3 Fe 0.5000 0.7500 0.0839 1
Fe4 Fe 0.5000 0.2500 0.9161 1
```

Calculated values
Crystal system: orthorhombic
Calculated density (g/cm3): 4.4
ΔE_f (raw) (eV/atom): -0.355
Excess energy over the best structure of this formula in the dataset (meV/atom): 0.0

---

Record 7
Below is crystalline KCdPb2 at its relaxed geometry, with properties calculated at the PBE-GGA level.

Cell and atoms, written as CIF:
```
data_KCdPb2
_cell_length_a 5.0316
_cell_length_b 3.7136
_cell_length_c 7.4318
_cell_angle_alpha 76.40
_cell_angle_beta 90.00
_cell_angle_gamma 90.00
_space_group_name_H-M_alt 'P 1'
_space_group_IT_number 1
loop_
_space_group_symop_operation_xyz
'x,y,z'
loop_
_atom_site_label
_atom_site_type_symbol
_atom_site_fract_x
_atom_site_fract_y
_atom_site_fract_z
_atom_site_occupancy
Pb1 Pb 0.0000 0.4380 0.4429 1
Pb2 Pb 0.0000 0.0620 0.0571 1
Cd1 Cd 0.5000 0.2500 0.2500 1
K1 K 0.5000 0.7500 0.7500 1
```

Calculated values
Crystal system: monoclinic
Formation energy (eV/atom): -0.08
Calculated density (g/cm3): 7.0

---

Record 8
Below is crystalline InRe2Sb at its relaxed geometry, with properties calculated at the PBE-GGA level.

Cell and atoms, written as CIF:
```
data_InRe2Sb
_cell_length_a 7.6311
_cell_length_b 7.6311
_cell_length_c 6.0563
_cell_angle_alpha 50.95
_cell_angle_beta 50.95
_cell_angle_gamma 90.00
_space_group_name_H-M_alt 'P 1'
_space_group_IT_number 1
loop_
_space_group_symop_operation_xyz
'x,y,z'
loop_
_atom_site_label
_atom_site_type_symbol
_atom_site_fract_x
_atom_site_fract_y
_atom_site_fract_z
_atom_site_occupancy
Re1 Re 0.6451 0.1250 0.2500 1
Re2 Re 0.3750 0.3549 0.7500 1
Re3 Re 0.1049 0.6250 0.2500 1
Re4 Re 0.8750 0.8951 0.7500 1
Sb1 Sb 0.7500 0.2500 0.5000 1
Sb2 Sb 0.0000 0.0000 0.0000 1
In1 In 0.2500 0.7500 0.5000 1
In2 In 0.5000 0.5000 0.0000 1
```

Calculated values
Crystal system: tetragonal
Calculated density (g/cm3): 12.6
ΔE_f (raw) (eV/atom): 1.287
Excess energy over the best structure of this formula in the dataset (meV/atom): 1041.8

---

Record 9
Below is crystalline MoPPdS2 at its relaxed geometry, with properties calculated at the PBE-GGA level.

Cell and atoms, written as CIF:
```
data_MoPPdS2
_cell_length_a 4.6760
_cell_length_b 4.6760
_cell_length_c 4.5757
_cell_angle_alpha 90.00
_cell_angle_beta 90.00
_cell_angle_gamma 90.00
_space_group_name_H-M_alt 'P 1'
_space_group_IT_number 1
loop_
_space_group_symop_operation_xyz
'x,y,z'
loop_
_atom_site_label
_atom_site_type_symbol
_atom_site_fract_x
_atom_site_fract_y
_atom_site_fract_z
_atom_site_occupancy
S1 S 0.0000 0.5000 0.0000 1
S2 S 0.5000 0.0000 0.0000 1
Pd1 Pd 0.0000 0.0000 0.0000 1
Mo1 Mo 0.5000 0.5000 0.5000 1
P1 P 0.0000 0.0000 0.5000 1
```

Calculated values
Crystal system: tetragonal
Calculated density (g/cm3): 4.9
ΔE_f (raw) (eV/atom): 0.966
Excess energy over the best structure of this formula in the dataset (meV/atom): 514.4

---

Record 10
Below is crystalline Pr2MnInPt6 at its relaxed geometry, with properties calculated at the PBE-GGA level.

Cell and atoms, written as CIF:
```
data_Pr2MnInPt6
_cell_length_a 5.6557
_cell_length_b 9.0282
_cell_length_c 9.0273
_cell_angle_alpha 36.51
_cell_angle_beta 71.75
_cell_angle_gamma 90.00
_space_group_name_H-M_alt 'P 1'
_space_group_IT_number 1
loop_
_space_group_symop_operation_xyz
'x,y,z'
loop_
_atom_site_label
_atom_site_type_symbol
_atom_site_fract_x
_atom_site_fract_y
_atom_site_fract_z
_atom_site_occupancy
Pr1 Pr 0.7983 0.2016 0.4034 1
Pr2 Pr 0.2017 0.7984 0.5966 1
Pt1 Pt 0.7447 0.7584 0.5106 1
Pt2 Pt 0.2553 0.7446 0.9863 1
Pt3 Pt 0.7447 0.2554 0.0137 1
Pt4 Pt 0.2553 0.2416 0.4894 1
Pt5 Pt 0.2416 0.2554 0.0136 1
Pt6 Pt 0.7584 0.7446 0.9864 1
In1 In 0.0000 0.0000 0.0000 1
Mn1 Mn 0.5000 0.5000 0.0000 1
```

Calculated values
Crystal system: trigonal
Formation energy (eV/atom): -0.65
Calculated density (g/cm3): 11.6

---

Record 11
Below is crystalline Ta5Ti4Nb2 at its relaxed geometry, with properties calculated at the PBE-GGA level.

Cell and atoms, written as CIF:
```
data_Ta5Ti4Nb2
_cell_length_a 3.3565
_cell_length_b 7.2185
_cell_length_c 16.5447
_cell_angle_alpha 90.00
_cell_angle_beta 90.00
_cell_angle_gamma 90.00
_space_group_name_H-M_alt 'P 1'
_space_group_IT_number 1
loop_
_space_group_symop_operation_xyz
'x,y,z'
loop_
_atom_site_label
_atom_site_type_symbol
_atom_site_fract_x
_atom_site_fract_y
_atom_site_fract_z
_atom_site_occupancy
Ti1 Ti 0.5000 0.2115 0.0508 1
Ti2 Ti 0.5000 0.5927 0.1345 1
Ti3 Ti 0.5000 0.2885 0.5508 1
Ti4 Ti 0.5000 0.7885 0.9492 1
Ti5 Ti 0.5000 0.9073 0.6345 1
Ti6 Ti 0.5000 0.7115 0.4492 1
Ti7 Ti 0.5000 0.0927 0.3655 1
Ti8 Ti 0.5000 0.4073 0.8655 1
Ta1 Ta 0.0000 0.1097 0.9228 1
Ta2 Ta 0.0000 0.7277 0.8136 1
Ta3 Ta 0.0000 0.7723 0.3136 1
Ta4 Ta 0.0000 0.0000 0.5000 1
Ta5 Ta 0.0000 0.2723 0.1864 1
Ta6 Ta 0.0000 0.5000 0.0000 1
Ta7 Ta 0.0000 0.3903 0.4228 1
Ta8 Ta 0.0000 0.6097 0.5772 1
Ta9 Ta 0.0000 0.8903 0.0772 1
Ta10 Ta 0.0000 0.2277 0.6864 1
Nb1 Nb 0.5000 0.9622 0.2080 1
Nb2 Nb 0.5000 0.5378 0.7080 1
Nb3 Nb 0.5000 0.0378 0.7920 1
Nb4 Nb 0.5000 0.4622 0.2920 1
```

Calculated values
Crystal system: orthorhombic
Formation energy (eV/atom): 0.21
Calculated density (g/cm3): 10.6

---

Record 12
Below is crystalline Y3InO at its relaxed geometry, with properties calculated at the PBE-GGA level.

Cell and atoms, written as CIF:
```
data_Y3InO
_cell_length_a 3.6182
_cell_length_b 6.2363
_cell_length_c 6.2363
_cell_angle_alpha 110.54
_cell_angle_beta 90.00
_cell_angle_gamma 90.00
_space_group_name_H-M_alt 'P 1'
_space_group_IT_number 1
loop_
_space_group_symop_operation_xyz
'x,y,z'
loop_
_atom_site_label
_atom_site_type_symbol
_atom_site_fract_x
_atom_site_fract_y
_atom_site_fract_z
_atom_site_occupancy
Y1 Y 0.5000 0.6462 0.8354 1
Y2 Y 0.0000 0.1468 0.8532 1
Y3 Y 0.5000 0.1646 0.3538 1
In1 In 0.0000 0.6498 0.3502 1
O1 O 0.5000 0.0206 0.9794 1
```

Calculated values
Crystal system: orthorhombic
Calculated density (g/cm3): 5.0
ΔE_f (raw) (eV/atom): -1.238

---

| no. | volume (Å³ per cell) |
| --- | --- |
| 1 | 106 |
| 2 | 70 |
| 3 | 148 |
| 4 | 398 |
| 5 | 69 |
| 6 | 386 |
| 7 | 135 |
| 8 | 160 |
| 9 | 100 |
| 10 | 233 |
| 11 | 401 |
| 12 | 132 |